Entry 1:
VASP calculation (meta-GGA SCAN) on a crystal of NaNb6O15F relaxed with PBEsol.

Summary:
- Symmetry: Amm2, No. 38
- Formation energy from raw total energies: -2696 meV per atom
- ρ: 4.61 g cm⁻³

Cell: 3.920 9.057 9.057 Å, 109.84 90.00 90.00°
Element x y z (fractional)
1 Na 0.500 0.404 0.596
2 Nb 0.000 0.994 0.372
3 Nb 0.000 0.377 0.264
4 Nb 0.000 0.736 0.623
5 Nb 0.000 0.218 0.782
6 Nb 0.000 0.999 0.001
7 Nb 0.000 0.628 0.006
8 O 0.500 0.641 0.010
9 O 0.000 0.513 0.487
10 O 0.000 0.863 0.137
11 O 0.000 0.532 0.166
12 O 0.000 0.834 0.468
13 O 0.000 0.769 0.858
14 O 0.000 0.142 0.231
15 O 0.500 0.223 0.777
16 O 0.500 0.714 0.638
17 O 0.500 0.362 0.286
18 O 0.500 0.990 0.359
19 O 0.000 0.182 0.553
20 O 0.000 0.990 0.771
21 O 0.000 0.229 0.010
22 O 0.000 0.447 0.818
23 F 0.500 0.001 0.999

Entry 2:
VASP calculation (meta-GGA SCAN) on a crystal of Na11TiNb2Si4P2O25F relaxed with PBEsol.

Summary:
- Symmetry: P1, No. 1
- Formation energy from raw total energies: -2709 meV per atom
- ρ: 3.13 g cm⁻³

Cell: 5.534 7.188 14.467 Å, 92.48 95.49 90.80°
Element x y z (fractional)
1 Na 0.488 0.739 0.500
2 Na 0.496 0.263 0.495
3 Na 0.754 0.763 0.920
4 Na 0.247 0.238 0.079
5 Na 0.818 0.519 0.100
6 Na 0.184 0.481 0.899
7 Na 0.290 0.510 0.266
8 Na 0.708 0.490 0.735
9 Na 0.808 0.992 0.134
10 Na 0.194 0.008 0.866
11 Na 0.998 0.001 0.500
12 Ti 0.973 0.501 0.508
13 Nb 0.302 0.992 0.283
14 Nb 0.699 0.007 0.717
15 Si 0.800 0.705 0.315
16 Si 0.202 0.295 0.685
17 Si 0.181 0.719 0.697
18 Si 0.822 0.281 0.304
19 P 0.313 0.756 0.066
20 P 0.690 0.244 0.934
21 O 0.589 0.758 0.057
22 O 0.414 0.242 0.943
23 O 0.840 0.698 0.426
24 O 0.165 0.303 0.573
25 O 0.169 0.772 0.970
26 O 0.832 0.228 0.031
27 O 0.254 0.931 0.129
28 O 0.750 0.069 0.871
29 O 0.535 0.785 0.280
30 O 0.465 0.213 0.720
31 O 0.944 0.799 0.746
32 O 0.059 0.201 0.255
33 O 0.235 0.572 0.109
34 O 0.768 0.428 0.892
35 O 0.798 0.494 0.263
36 O 0.206 0.505 0.737
37 O 0.677 0.985 0.592
38 O 0.320 0.011 0.407
39 O 0.430 0.828 0.744
40 O 0.574 0.171 0.257
41 O 0.011 0.819 0.270
42 O 0.989 0.181 0.728
43 O 0.159 0.709 0.585
44 O 0.842 0.292 0.416
45 O 0.737 0.497 0.577
46 F 0.270 0.503 0.421

Entry 3:
VASP calculation (meta-GGA SCAN) on a crystal of Na11TiNb2Si4P2O24F2 relaxed with PBEsol.

Summary:
- Symmetry: P-1, No. 2
- Formation energy from raw total energies: -2719 meV per atom
- ρ: 3.13 g cm⁻³

Cell: 5.565 7.195 14.420 Å, 92.38 95.39 90.96°
Each line ends with the local moment (μB).
Element x y z (fractional)
1 Na 0.243 0.735 0.079  0.00
2 Na 0.757 0.265 0.921  0.00
3 Na 0.284 0.010 0.263  0.00
4 Na 0.716 0.990 0.737  0.00
5 Na 0.816 0.017 0.099  0.00
6 Na 0.184 0.983 0.901  0.00
7 Na 0.000 0.500 0.500  0.00
8 Na 0.803 0.491 0.135  0.00
9 Na 0.197 0.509 0.865  0.00
10 Na 0.491 0.250 0.499  0.00
11 Na 0.509 0.750 0.501  0.00
12 Ti 0.000 0.000 0.500  0.57
13 Nb 0.298 0.492 0.284  0.18
14 Nb 0.702 0.508 0.716  0.18
15 Si 0.181 0.221 0.698  0.00
16 Si 0.819 0.779 0.302  0.00
17 Si 0.794 0.204 0.314  0.00
18 Si 0.206 0.796 0.686  0.00
19 P 0.311 0.255 0.066  0.00
20 P 0.689 0.745 0.934  0.00
21 O 0.004 0.319 0.270  0.00
22 O 0.996 0.681 0.730  0.00
23 O 0.842 0.194 0.426  -0.01
24 O 0.158 0.806 0.574  -0.01
25 O 0.255 0.429 0.130  0.00
26 O 0.745 0.571 0.870  0.00
27 O 0.205 0.007 0.737  0.00
28 O 0.795 0.993 0.263  0.00
29 O 0.318 0.512 0.409  -0.01
30 O 0.682 0.488 0.591  -0.01
31 O 0.527 0.279 0.284  0.00
32 O 0.473 0.721 0.716  0.00
33 O 0.573 0.668 0.257  0.00
34 O 0.427 0.332 0.743  0.00
35 O 0.586 0.256 0.057  0.00
36 O 0.414 0.744 0.943  0.00
37 O 0.230 0.071 0.107  0.00
38 O 0.770 0.929 0.893  0.00
39 O 0.170 0.276 0.969  0.00
40 O 0.830 0.724 0.031  0.00
41 O 0.058 0.703 0.255  0.00
42 O 0.942 0.297 0.745  0.00
43 O 0.157 0.209 0.585  0.00
44 O 0.843 0.791 0.415  0.00
45 F 0.277 0.002 0.424  0.00
46 F 0.723 0.998 0.576  0.00

Entry 4:
VASP calculation (meta-GGA SCAN) on a crystal of NaNb2RhF relaxed with PBEsol.

Summary:
- Symmetry: P4/mmm, No. 123
- Formation energy from raw total energies: 986 meV per atom
- ρ: 6.57 g cm⁻³

Cell: 3.519 4.873 4.873 Å, 90.00 90.00 90.00°
Element x y z (fractional)
1 Na 0.000 0.000 0.000
2 Nb 0.000 0.000 0.500
3 Nb 0.000 0.500 0.000
4 Rh 0.500 0.500 0.500
5 F 0.500 0.000 0.000

Entry 5:
VASP calculation (meta-GGA SCAN) on a crystal of Na5Nd4Si4O16F relaxed with PBEsol.

Summary:
- Symmetry: I-4, No. 82
- Formation energy from raw total energies: -3173 meV per atom
- ρ: 4.64 g cm⁻³

Cell: 5.481 8.833 8.833 Å, 84.48 71.93 71.93°
Element x y z (fractional)
1 Na 0.074 0.306 0.516
2 Na 0.896 0.694 0.484
3 Na 0.410 0.516 0.694
4 Na 0.620 0.484 0.306
5 Na 0.500 0.000 0.000
6 Nd 0.094 0.700 0.067
7 Nd 0.861 0.300 0.933
8 Nd 0.839 0.067 0.300
9 Nd 0.206 0.933 0.700
10 Si 0.262 0.350 0.146
11 Si 0.758 0.650 0.854
12 Si 0.592 0.146 0.650
13 Si 0.388 0.854 0.350
14 O 0.087 0.492 0.278
15 O 0.857 0.508 0.722
16 O 0.636 0.278 0.508
17 O 0.421 0.722 0.492
18 O 0.091 0.231 0.136
19 O 0.458 0.769 0.864
20 O 0.772 0.136 0.769
21 O 0.678 0.864 0.231
22 O 0.547 0.250 0.179
23 O 0.975 0.750 0.821
24 O 0.274 0.179 0.750
25 O 0.204 0.821 0.250
26 O 0.357 0.434 0.970
27 O 0.761 0.566 0.030
28 O 0.673 0.970 0.566
29 O 0.209 0.030 0.434
30 F 0.000 0.000 0.000

Entry 6:
VASP calculation (meta-GGA SCAN) on a crystal of Rb2NaNdF6 relaxed with PBEsol.

Summary:
- Symmetry: Fm-3m, No. 225
- Formation energy from raw total energies: -3462 meV per atom
- ρ: 4.12 g cm⁻³

Cell: 6.366 6.366 6.366 Å, 60.00 60.00 60.00°
Element x y z (fractional)
1 Na 0.500 0.500 0.500
2 Nd 0.000 0.000 0.000
3 Rb 0.250 0.250 0.250
4 Rb 0.750 0.750 0.750
5 F 0.250 0.750 0.250
6 F 0.250 0.250 0.750
7 F 0.750 0.750 0.250
8 F 0.250 0.750 0.750
9 F 0.750 0.250 0.750
10 F 0.750 0.250 0.250

Entry 7:
VASP calculation (meta-GGA SCAN) on a crystal of Na3NiF6 relaxed with PBEsol.

Summary:
- Symmetry: P2_1/c, No. 14
- Formation energy from raw total energies: -2622 meV per atom
- ρ: 3.36 g cm⁻³

Cell: 5.393 5.734 7.730 Å, 90.00 91.00 90.00°
Each line ends with the local moment (μB).
Element x y z (fractional)
1 Na 0.024 0.436 0.744  0.00
2 Na 0.476 0.936 0.756  0.00
3 Na 0.976 0.564 0.256  0.00
4 Na 0.524 0.064 0.244  0.00
5 Na 0.500 0.500 0.000  0.00
6 Na 0.000 0.000 0.500  0.00
7 Ni 0.500 0.500 0.500  0.87
8 Ni 0.000 0.000 0.000  0.87
9 F 0.678 0.781 0.422  0.08
10 F 0.822 0.281 0.078  0.08
11 F 0.322 0.219 0.578  0.08
12 F 0.178 0.719 0.922  0.08
13 F 0.225 0.674 0.545  -0.01
14 F 0.275 0.174 0.955  -0.01
15 F 0.775 0.326 0.455  -0.01
16 F 0.725 0.826 0.045  -0.01
17 F 0.117 0.945 0.220  -0.01
18 F 0.383 0.445 0.280  -0.01
19 F 0.883 0.055 0.780  -0.01
20 F 0.617 0.555 0.720  -0.01

Entry 8:
VASP calculation (meta-GGA SCAN) on a crystal of NaNiO2F relaxed with PBEsol.

Summary:
- Symmetry: P4/mmm, No. 123
- Formation energy from raw total energies: 89 meV per atom
- ρ: 3.54 g cm⁻³

Cell: 3.864 4.012 4.012 Å, 90.00 90.00 90.00°
Each line ends with the local moment (μB).
Element x y z (fractional)
1 Ni 0.500 0.500 0.500  1.59
2 F 0.500 0.000 0.000  0.08
3 O 0.000 0.000 0.500  0.99
4 O 0.000 0.500 0.000  0.99
5 Na 0.000 0.000 0.000  0.04

Entry 9:
VASP calculation (meta-GGA SCAN) on a crystal of Na2VNiF7 relaxed with PBEsol.

Summary:
- Symmetry: Imma, No. 74
- Formation energy from raw total energies: -2907 meV per atom
- ρ: 3.54 g cm⁻³

Cell: 7.180 7.253 7.253 Å, 61.18 60.33 60.33°
Each line ends with the local moment (μB).
Element x y z (fractional)
1 Na 0.500 0.000 0.500  0.00
2 Na 0.000 0.000 0.500  0.00
3 Na 0.000 0.000 0.000  0.00
4 Na 0.500 0.500 0.500  0.00
5 V 0.000 0.500 0.500  1.88
6 V 0.500 0.000 0.000  1.88
7 Ni 0.500 0.500 0.000  1.76
8 Ni 0.000 0.500 0.000  1.76
9 F 0.250 0.605 0.895  0.07
10 F 0.750 0.395 0.105  0.07
11 F 0.407 0.864 0.323  0.00
12 F 0.593 0.136 0.677  0.00
13 F 0.907 0.823 0.364  0.00
14 F 0.093 0.177 0.636  0.00
15 F 0.586 0.178 0.054  0.04
16 F 0.819 0.822 0.946  0.04
17 F 0.086 0.554 0.678  0.04
18 F 0.319 0.446 0.322  0.04
19 F 0.414 0.822 0.946  0.04
20 F 0.181 0.178 0.054  0.04
21 F 0.914 0.446 0.322  0.04
22 F 0.681 0.554 0.678  0.04

Entry 10:
VASP calculation (meta-GGA SCAN) on a crystal of NaOsOF2 relaxed with PBEsol.

Summary:
- Symmetry: P4/mmm, No. 123
- Formation energy from raw total energies: -1337 meV per atom
- ρ: 6.47 g cm⁻³

Cell: 3.742 4.283 4.283 Å, 90.00 90.00 90.00°
Element x y z (fractional)
1 Na 0.500 0.500 0.500
2 Os 0.000 0.000 0.000
3 O 0.500 0.000 0.000
4 F 0.000 0.000 0.500
5 F 0.000 0.500 0.000

Entry 11:
VASP calculation (meta-GGA SCAN) on a crystal of Na3V2P2O8F3 relaxed with PBEsol.

Summary:
- Symmetry: Cmcm, No. 63
- Formation energy from raw total energies: -2756 meV per atom
- ρ: 3.17 g cm⁻³

Cell: 9.040 9.074 10.666 Å, 90.00 90.00 90.00°
Each line ends with the local moment (μB).
Element x y z (fractional)
1 Na 0.041 0.296 0.500  0.00
2 Na 0.041 0.797 0.000  0.00
3 Na 0.250 0.516 0.000  0.00
4 Na 0.250 0.016 0.500  0.00
5 Na 0.459 0.297 0.500  0.00
6 Na 0.459 0.796 0.000  0.00
7 Na 0.541 0.204 0.000  0.00
8 Na 0.541 0.703 0.500  0.00
9 Na 0.750 0.984 0.500  0.00
10 Na 0.750 0.484 0.000  0.00
11 Na 0.959 0.203 0.000  0.00
12 Na 0.959 0.704 0.500  0.00
13 V 0.250 0.245 0.183  1.88
14 V 0.250 0.245 0.817  1.88
15 V 0.250 0.745 0.317  1.88
16 V 0.250 0.745 0.683  1.88
17 V 0.750 0.255 0.317  1.88
18 V 0.750 0.255 0.683  1.88
19 V 0.750 0.755 0.183  1.88
20 V 0.750 0.755 0.817  1.88
21 P 0.000 0.000 0.743  0.02
22 P 0.000 0.000 0.257  0.02
23 P 0.500 0.500 0.757  0.02
24 P 0.500 0.500 0.243  0.02
25 P 0.500 0.000 0.744  0.02
26 P 0.500 0.000 0.256  0.02
27 P 0.000 0.500 0.756  0.02
28 P 0.000 0.500 0.244  0.02
29 O 0.094 0.597 0.332  -0.01
30 O 0.094 0.597 0.668  -0.01
31 O 0.094 0.097 0.168  -0.01
32 O 0.094 0.097 0.832  -0.01
33 O 0.097 0.403 0.158  -0.01
34 O 0.097 0.903 0.657  -0.01
35 O 0.097 0.403 0.842  -0.01
36 O 0.097 0.903 0.343  -0.01
37 O 0.403 0.903 0.658  -0.01
38 O 0.403 0.903 0.342  -0.01
39 O 0.403 0.403 0.157  -0.01
40 O 0.403 0.403 0.843  -0.01
41 O 0.406 0.597 0.332  -0.01
42 O 0.406 0.597 0.668  -0.01
43 O 0.406 0.097 0.168  -0.01
44 O 0.406 0.097 0.832  -0.01
45 O 0.594 0.903 0.168  -0.01
46 O 0.594 0.903 0.832  -0.01
47 O 0.594 0.403 0.332  -0.01
48 O 0.594 0.403 0.668  -0.01
49 O 0.597 0.597 0.157  -0.01
50 O 0.597 0.597 0.843  -0.01
51 O 0.597 0.097 0.658  -0.01
52 O 0.597 0.097 0.342  -0.01
53 O 0.903 0.597 0.158  -0.01
54 O 0.903 0.597 0.842  -0.01
55 O 0.903 0.097 0.657  -0.01
56 O 0.903 0.097 0.343  -0.01
57 O 0.906 0.903 0.168  -0.01
58 O 0.906 0.903 0.832  -0.01
59 O 0.906 0.403 0.332  -0.01
60 O 0.906 0.403 0.668  -0.01
61 F 0.250 0.239 0.367  0.03
62 F 0.250 0.239 0.633  0.03
63 F 0.250 0.244 0.000  0.04
64 F 0.250 0.744 0.500  0.04
65 F 0.250 0.739 0.133  0.03
66 F 0.250 0.739 0.867  0.03
67 F 0.750 0.261 0.133  0.03
68 F 0.750 0.261 0.867  0.03
69 F 0.750 0.256 0.500  0.04
70 F 0.750 0.756 0.000  0.04
71 F 0.750 0.761 0.367  0.03
72 F 0.750 0.761 0.633  0.03

Entry 12:
VASP calculation (meta-GGA SCAN) on a crystal of Na3V2P2O10F relaxed with PBEsol.

Summary:
- Symmetry: Cm, No. 8
- Formation energy from raw total energies: -2636 meV per atom
- ρ: 3.20 g cm⁻³

Cell: 6.377 6.377 10.496 Å, 90.00 90.00 90.02°
Each line ends with the local moment (μB).
Element x y z (fractional)
1 Na 0.201 0.753 0.000  0.00
2 Na 0.701 0.253 0.500  0.00
3 Na 0.237 0.234 0.000  0.00
4 Na 0.755 0.205 0.000  0.00
5 Na 0.255 0.705 0.500  0.00
6 Na 0.737 0.734 0.500  0.00
7 V 0.504 0.505 0.198  1.03
8 V 0.004 0.005 0.698  1.03
9 V 0.004 0.005 0.302  1.03
10 V 0.504 0.505 0.802  1.03
11 P 0.995 0.496 0.250  0.00
12 P 0.495 0.996 0.750  0.00
13 P 0.495 0.996 0.250  0.00
14 P 0.995 0.496 0.750  0.00
15 O 0.990 0.307 0.342  0.01
16 O 0.192 0.494 0.164  0.01
17 O 0.806 0.494 0.158  0.01
18 O 0.515 0.516 0.354  -0.11
19 O 0.997 0.693 0.336  0.01
20 O 0.490 0.807 0.842  0.01
21 O 0.490 0.807 0.158  0.01
22 O 0.692 0.994 0.664  0.01
23 O 0.307 0.994 0.658  0.01
24 O 0.015 0.016 0.854  -0.11
25 O 0.015 0.016 0.146  -0.11
26 O 0.692 0.994 0.336  0.01
27 O 0.307 0.994 0.342  0.01
28 O 0.497 0.193 0.836  0.01
29 O 0.497 0.193 0.164  0.01
30 O 0.990 0.307 0.658  0.01
31 O 0.515 0.516 0.646  -0.11
32 O 0.192 0.494 0.836  0.01
33 O 0.806 0.494 0.842  0.01
34 O 0.997 0.693 0.664  0.01
35 F 0.490 0.491 0.000  -0.01
36 F 0.990 0.991 0.500  -0.01

Entry 13:
VASP calculation (meta-GGA SCAN) on a crystal of NaPtO2F relaxed with PBEsol.

Summary:
- Symmetry: P4/mmm, No. 123
- Formation energy from raw total energies: 430 meV per atom
- ρ: 7.14 g cm⁻³

Cell: 3.854 4.029 4.029 Å, 90.00 90.00 90.00°
Each line ends with the local moment (μB).
Element x y z (fractional)
1 Na 0.000 0.000 0.000  0.01
2 O 0.000 0.000 0.500  1.07
3 O 0.000 0.500 0.000  1.07
4 Pt 0.500 0.500 0.500  1.49
5 F 0.500 0.000 0.000  0.09

Entry 14:
VASP calculation (meta-GGA SCAN) on a crystal of NaRuO2F relaxed with PBEsol.

Summary:
- Symmetry: P4/mmm, No. 123
- Formation energy from raw total energies: 65 meV per atom
- ρ: 4.76 g cm⁻³

Cell: 3.822 3.997 3.997 Å, 90.00 90.00 90.00°
Each line ends with the local moment (μB).
Element x y z (fractional)
1 Ru 0.500 0.500 0.500  3.67
2 F 0.500 0.000 0.000  0.12
3 O 0.000 0.000 0.500  0.91
4 O 0.000 0.500 0.000  0.91
5 Na 0.000 0.000 0.000  0.01